1.
InPI3 | PBE-GGA | relaxed

a = 5.628 Å, b = 5.628 Å, c = 5.628 Å
α = 90.00°, β = 90.00°, γ = 90.00°
Element x y z (fractional)
I 0.000 0.500 0.000
I 0.000 0.000 0.500
I 0.500 0.000 0.000
In 0.500 0.500 0.500
P 0.000 0.000 0.000

Properties
Formation energy (no corrections)   -0.02 eV per atom
D(E_F)   1.58 states/eV per cell
ΔE to the lowest computed polymorph   0 meV/atom
Symmetry   Pm-3m
V   35.66 Å³ per atom
Uncorrected energy   -12.9 eV for the cell shown



2.
In3PI | PBE-GGA | relaxed

a = 6.283 Å, b = 6.283 Å, c = 6.283 Å
α = 90.00°, β = 90.00°, γ = 90.00°
Element x y z (fractional)
In 0.000 0.500 0.000
In 0.500 0.000 0.000
In 0.000 0.000 0.500
I 0.000 0.000 0.000
P 0.500 0.500 0.500

Properties
Formation energy (no corrections)   0.87 eV per atom
D(E_F)   4.62 states/eV per cell
ΔE to the lowest computed polymorph   776 meV/atom
Symmetry   Pm-3m
V   49.60 Å³ per atom
Uncorrected energy   -10.8 eV for the cell shown



3.
Rb2InPI6 | PBE-GGA | relaxed

a = 8.476 Å, b = 8.476 Å, c = 8.468 Å
α = 59.97°, β = 59.97°, γ = 90.00°
Element x y z (fractional)
P 0.500 0.500 0.000
I 0.736 0.736 0.527
I 0.735 0.735 0.000
I 0.265 0.265 0.000
I 0.735 0.265 0.000
I 0.264 0.264 0.473
I 0.265 0.735 0.000
Rb 0.750 0.250 0.500
Rb 0.250 0.750 0.500
In 0.000 0.000 0.000

Properties
Formation energy (no corrections)   -0.69 eV per atom
D(E_F)   0.02 states/eV per cell
Symmetry   I4/mmm
V   42.97 Å³ per atom
Uncorrected energy   -26.2 eV for the cell shown



4.
In2PRhI | PBE-GGA | relaxed

a = 6.271 Å, b = 4.896 Å, c = 6.271 Å
α = 90.00°, β = 90.00°, γ = 90.00°
Element x y z (fractional)
P 0.500 0.500 0.500
In 0.500 0.000 0.000
In 0.000 0.000 0.500
Rh 0.000 0.500 0.000
I 0.000 0.000 0.000

Properties
Formation energy (no corrections)   1.13 eV per atom
D(E_F)   2.54 states/eV per cell
Symmetry   P4/mmm
V   38.50 Å³ per atom
Uncorrected energy   -14.1 eV for the cell shown



5.
InSb2PI | PBE-GGA | relaxed

a = 5.344 Å, b = 5.344 Å, c = 5.480 Å
α = 90.00°, β = 90.00°, γ = 90.00°
Element x y z (fractional)
P 0.000 0.000 0.000
In 0.500 0.500 0.500
Sb 0.000 0.500 0.000
Sb 0.500 0.000 0.000
I 0.000 0.000 0.500

Properties
Formation energy (no corrections)   0.45 eV per atom
D(E_F)   5.31 states/eV per cell
ΔE to the lowest computed polymorph   0 meV/atom
Symmetry   P4/mmm
V   31.30 Å³ per atom
Uncorrected energy   -15.7 eV for the cell shown



6.
InSb2PI | PBE-GGA | relaxed

a = 5.729 Å, b = 5.729 Å, c = 5.806 Å
α = 90.00°, β = 90.00°, γ = 90.00°
Element x y z (fractional)
Sb 0.500 0.000 0.000
Sb 0.000 0.500 0.000
P 0.500 0.500 0.500
I 0.000 0.000 0.500
In 0.000 0.000 0.000

Properties
Formation energy (no corrections)   1.06 eV per atom
D(E_F)   4.14 states/eV per cell
ΔE to the lowest computed polymorph   611 meV/atom
Symmetry   P4/mmm
V   38.11 Å³ per atom
Uncorrected energy   -12.7 eV for the cell shown